# 1
## KGaSe (PBE-GGA)

Data for a relaxed structure of KGaSe.

The value obtained for the uncorrected formation energy is -666 meV per atom. Its total magnetization is 0.0 μB per cell.

It has space group P3m1 (No. 156), with a = 4.1392 Å, b = 4.1392 Å, c = 6.1750 Å, α = 90.00°, β = 90.00° and γ = 120.00°. Symmetry generates all atoms from K at (0.0000, 0.0000, 0.0000), Ga at (0.6667, 0.3333, 0.4275) and Se at (0.3333, 0.6667, 0.6413).

***

# 2
## KGaSe2 (PBE-GGA)

Data for a relaxed structure of KGaSe2.

The value obtained for the uncorrected formation energy is -788 meV per atom. Its total magnetization is 0.0 μB per cell.

It has space group Pnma (No. 62), with a = 6.774 Å, b = 3.766 Å, c = 18.548 Å, α = 90.00°, β = 90.00° and γ = 90.00°. Symmetry generates all atoms from K at (0.124, 0.250, 0.160), Ga at (0.102, 0.750, 0.430), Se at (0.130, 0.250, 0.339) and Se at (0.239, 0.250, 0.522).

***

What is the total magnetization in the first record? 0.0 μB per cell

***

Copy entry 1 word for word.
## KGaSe (PBE-GGA)

Data for a relaxed structure of KGaSe.

The value obtained for the uncorrected formation energy is -666 meV per atom. Its total magnetization is 0.0 μB per cell.

It has space group P3m1 (No. 156), with a = 4.1392 Å, b = 4.1392 Å, c = 6.1750 Å, α = 90.00°, β = 90.00° and γ = 120.00°. Symmetry generates all atoms from K at (0.0000, 0.0000, 0.0000), Ga at (0.6667, 0.3333, 0.4275) and Se at (0.3333, 0.6667, 0.6413).